Entry 1:
Compound: Ba2TaMn
Source: Alexandria
Functional: PBE
Structure: optimized geometry

abc: 5.456 5.456 5.456
angles: 60.00 60.00 60.00
Sites, in units of the cell vectors:
Mn1 0.000 0.000 0.000
Ta1 0.500 0.500 0.500
Ba1 0.750 0.750 0.750
Ba2 0.250 0.250 0.250

Results
Excess energy over the best structure of this formula in the dataset, meV/atom: 1176
Uncorrected energy, eV/atom: -4.456
Energy relative to the elements, meV/atom: 1761

=====

Entry 2:
Compound: Ba2TaMn
Source: Alexandria
Functional: PBE
Structure: optimized geometry

abc: 5.975 5.975 3.496
angles: 90.00 90.00 90.00
Sites, in units of the cell vectors:
Ta1 0.000 0.500 0.500
Ba1 0.000 0.000 0.000
Ba2 0.500 0.500 0.000
Mn1 0.500 0.000 0.500

Results
Excess energy over the best structure of this formula in the dataset, meV/atom: 632
Uncorrected energy, eV/atom: -5.000
Energy relative to the elements, meV/atom: 1217

=====

Entry 3:
Compound: Ba2TaMn
Source: Alexandria
Functional: PBE
Structure: optimized geometry

abc: 6.156 6.156 6.156
angles: 132.93 132.93 68.77
Sites, in units of the cell vectors:
Ta1 0.750 0.250 0.500
Ba1 0.500 0.500 0.000
Ba2 0.000 0.000 0.000
Mn1 0.250 0.750 0.500

Results
Excess energy over the best structure of this formula in the dataset, meV/atom: 662
Uncorrected energy, eV/atom: -4.970
Energy relative to the elements, meV/atom: 1247

=====

Entry 4:
Compound: Ba2TaMn2
Source: Alexandria
Functional: PBE
Structure: optimized geometry

abc: 9.115 9.115 3.291
angles: 90.00 90.00 90.00
Sites, in units of the cell vectors:
Ba1 0.640 0.140 0.000
Ba2 0.140 0.360 0.000
Ba3 0.360 0.860 0.000
Ba4 0.860 0.640 0.000
Mn1 0.167 0.667 0.500
Mn2 0.333 0.167 0.500
Mn3 0.667 0.833 0.500
Mn4 0.833 0.333 0.500
Ta1 0.000 0.000 0.000
Ta2 0.500 0.500 0.000

Results
Excess energy over the best structure of this formula in the dataset, meV/atom: 283
Uncorrected energy, eV/atom: -5.385
Energy relative to the elements, meV/atom: 1422